14
Lattice="5.316 -3.733 0.000 5.316 3.733 0.000 -1.766 0.000 6.830" Properties=species:S:1:pos:R:3 comment="PrTcClO4 PBE relaxed" energy_ev_per_atom=-7.31 density_g_cm3=4.14 m_tot_mub_per_atom=0.14 raw_formation_energy_kj_per_mol_atoms=-198.1 pbc="T T T"
Pr 2.144 0.000 0.728
Pr 6.723 0.000 6.103
Tc 2.614 0.000 4.930
Tc 6.253 0.000 1.900
Cl -1.211 0.000 5.220
Cl 10.078 0.000 1.610
O 1.734 1.331 5.834
O 2.195 0.000 3.232
O 4.553 0.000 1.486
O 1.734 -1.331 5.834
O 7.133 1.331 0.996
O 4.314 0.000 5.345
O 6.672 0.000 3.598
O 7.133 -1.331 0.996



12
Lattice="6.119 -3.428 0.000 6.119 3.428 0.000 -0.898 0.000 5.559" Properties=species:S:1:pos:R:3 comment="Pr3TeCl2O6 PBE relaxed" energy_ev_per_atom=-6.36 density_g_cm3=5.11 m_tot_mub_per_atom=0.00 raw_formation_energy_kj_per_mol_atoms=-204.0 pbc="T T T"
Pr 0.000 0.000 0.000
Pr 2.611 1.714 2.779
Pr 2.611 -1.714 2.779
Te 5.670 0.000 2.779
Cl 1.777 0.000 4.816
Cl 9.564 0.000 0.742
O 4.767 1.625 3.890
O 6.574 1.625 1.669
O 3.875 0.000 1.835
O 7.465 0.000 3.724
O 4.767 -1.625 3.890
O 6.574 -1.625 1.669



14
Lattice="5.326 -3.790 0.000 5.326 3.790 0.000 -1.979 0.000 6.909" Properties=species:S:1:pos:R:3 comment="PrTeClO4 PBE relaxed" energy_ev_per_atom=-5.98 density_g_cm3=4.38 m_tot_mub_per_atom=0.00 raw_formation_energy_kj_per_mol_atoms=-169.2 pbc="T T T"
Pr 2.126 0.000 0.838
Pr 6.546 0.000 6.071
Te 2.411 0.000 5.041
Te 6.261 0.000 1.868
Cl -1.370 0.000 5.331
Cl 10.042 0.000 1.578
O 1.529 1.377 5.927
O 2.048 0.000 3.259
O 4.474 0.000 1.514
O 1.529 -1.377 5.927
O 7.143 1.377 0.982
O 4.198 0.000 5.395
O 6.624 0.000 3.650
O 7.143 -1.377 0.982



26
Lattice="9.524 0.000 0.000 -4.762 8.248 0.000 0.000 0.000 5.610" Properties=species:S:1:pos:R:3 comment="Pr3UCl3O6 PBE relaxed" energy_ev_per_atom=-7.72 density_g_cm3=6.50 m_tot_mub_per_atom=0.00 raw_formation_energy_kj_per_mol_atoms=-293.1 pbc="T T T"
Pr -2.409 5.649 1.403
Pr 1.075 3.338 1.403
Pr 3.428 0.738 4.208
Pr 1.334 7.510 1.403
Pr 3.687 4.910 4.208
Pr 7.171 2.600 4.208
U 0.000 5.499 4.208
U 4.762 2.749 1.403
Cl -3.300 6.683 4.208
Cl 0.625 2.049 4.208
Cl 2.086 0.483 1.403
Cl 2.676 7.765 4.208
Cl 4.138 6.200 1.403
Cl 8.063 1.565 1.403
O -1.021 4.267 2.846
O -1.021 4.267 5.570
O -0.556 6.999 2.846
O -0.556 6.999 5.570
O 1.577 5.231 2.846
O 1.577 5.231 5.570
O 3.185 3.017 0.041
O 3.185 3.017 2.764
O 5.319 1.250 0.041
O 5.319 1.250 2.764
O 5.783 3.981 0.041
O 5.783 3.981 2.764